1.
The following is a PBE with a Hubbard U calculation of a geometry-optimized La2CoRhO structure, from the Alexandria database.

Summary:
* Fermi-level density of states: 4.4 states/eV/cell
* energy: -5.671 eV per atom

abc: 5.493 5.493 4.027
angles: 90.00 90.00 90.00
Positions (direct):
La 0.000 0.500 0.000
La 0.500 0.000 0.000
Co 0.000 0.000 0.500
Rh 0.500 0.500 0.000
O 0.500 0.500 0.500

2.
The following is a PBE with a Hubbard U calculation of a geometry-optimized LaCo3Rh4O12 structure, from the Alexandria database.

Summary:
* Fermi-level density of states: 10.6 states/eV/cell
* energy: -6.603 eV per atom

abc: 6.557 6.557 6.557
angles: 109.47 109.47 109.47
Positions (direct):
La 0.000 0.000 0.000
Co 0.000 0.500 0.500
Co 0.500 0.000 0.500
Co 0.500 0.500 0.000
Rh 0.000 0.000 0.500
Rh 0.000 0.500 0.000
Rh 0.500 0.000 0.000
Rh 0.500 0.500 0.500
O 0.141 0.831 0.310
O 0.169 0.310 0.480
O 0.169 0.690 0.859
O 0.310 0.141 0.831
O 0.310 0.480 0.169
O 0.480 0.169 0.310
O 0.520 0.831 0.690
O 0.690 0.520 0.831
O 0.690 0.859 0.169
O 0.831 0.310 0.141
O 0.831 0.690 0.520
O 0.859 0.169 0.690

3.
The following is a PBE with a Hubbard U calculation of a geometry-optimized La2CoRuO6 structure, from the Alexandria database.

Summary:
* Fermi-level density of states: 9.0 states/eV/cell
* energy: -7.653 eV per atom

abc: 5.547 5.806 9.662
angles: 90.00 124.92 90.00
Positions (direct):
La 0.233 0.059 0.249
La 0.233 0.441 0.749
La 0.767 0.559 0.251
La 0.767 0.941 0.751
Co 0.000 0.000 0.500
Co 0.000 0.500 0.000
Ru 0.500 0.000 0.000
Ru 0.500 0.500 0.500
O 0.159 0.199 0.954
O 0.159 0.301 0.454
O 0.257 0.707 0.952
O 0.257 0.793 0.452
O 0.344 0.025 0.754
O 0.344 0.475 0.254
O 0.656 0.525 0.746
O 0.656 0.975 0.246
O 0.743 0.207 0.548
O 0.743 0.293 0.048
O 0.841 0.699 0.546
O 0.841 0.801 0.046

4.
The following is a PBE with a Hubbard U calculation of a geometry-optimized La2CoRuO8 structure, from the Alexandria database.

Summary:
* Fermi-level density of states: 3.9 states/eV/cell
* energy: -7.169 eV per atom

abc: 4.322 5.309 7.001
angles: 83.24 86.80 82.83
Positions (direct):
La 0.196 0.016 0.241
La 0.804 0.984 0.759
Co 0.500 0.500 0.000
Ru 0.500 0.500 0.500
O 0.185 0.757 0.554
O 0.288 0.243 0.636
O 0.294 0.820 0.946
O 0.302 0.474 0.249
O 0.698 0.526 0.751
O 0.706 0.180 0.054
O 0.712 0.757 0.364
O 0.815 0.243 0.446

5.
The following is a PBE with a Hubbard U calculation of a geometry-optimized SrLaCoRuO6 structure, from the Alexandria database.

Summary:
* Fermi-level density of states: 1.0 states/eV/cell
* energy: -7.125 eV per atom

abc: 5.611 5.677 9.719
angles: 90.00 125.07 90.00
Positions (direct):
Sr 0.000 0.212 0.000
Sr 0.000 0.788 0.500
La 0.519 0.296 0.502
La 0.519 0.704 0.002
Co 0.757 0.247 0.251
Co 0.757 0.753 0.751
Ru 0.257 0.249 0.750
Ru 0.257 0.751 0.250
O 0.010 0.474 0.213
O 0.010 0.526 0.713
O 0.095 0.237 0.506
O 0.095 0.763 0.006
O 0.437 0.271 0.995
O 0.437 0.729 0.495
O 0.497 0.037 0.292
O 0.497 0.963 0.792
O 0.570 0.460 0.786
O 0.570 0.540 0.286
O 0.931 0.050 0.710
O 0.931 0.950 0.210

6.
The following is a PBE with a Hubbard U calculation of a geometry-optimized La3CoWS3O6 structure, from the Alexandria database.

Summary:
* energy: -7.298 eV per atom

abc: 9.433 9.433 5.580
angles: 90.00 90.00 120.00
Positions (direct):
La 0.089 0.685 0.250
La 0.315 0.404 0.250
La 0.404 0.089 0.750
La 0.596 0.911 0.250
La 0.685 0.596 0.750
La 0.911 0.315 0.750
Co 0.000 0.000 0.000
Co 0.000 0.000 0.500
W 0.333 0.667 0.750
W 0.667 0.333 0.250
S 0.044 0.832 0.750
S 0.168 0.212 0.750
S 0.212 0.044 0.250
S 0.788 0.956 0.750
S 0.832 0.788 0.250
S 0.956 0.168 0.250
O 0.160 0.524 0.523
O 0.160 0.524 0.977
O 0.364 0.840 0.523
O 0.364 0.840 0.977
O 0.476 0.636 0.523
O 0.476 0.636 0.977
O 0.524 0.364 0.023
O 0.524 0.364 0.477
O 0.636 0.160 0.023
O 0.636 0.160 0.477
O 0.840 0.476 0.023
O 0.840 0.476 0.477

- Which of these has the lowest energy?
  La2CoRuO6

- Which formula does entry 5 have?
  SrLaCoRuO6

- Look up the energy of the second one.
  -6.603 eV per atom